(1)
! LiLa2Pr2 (PBE, optimized geometry); values from VASP
! Raw total energy (eV for the cell shown): -18.45
! Energy relative to the elements (eV/atom): 0.57
! DOS at the Fermi energy (states/eV/cell): 8.10
&SYSTEM
  ibrav = 0, nat = 5, ntyp = 3
/
ATOMIC_SPECIES
Li 6.94 Li.upf
Pr 140.91 Pr.upf
La 138.91 La.upf
ATOMIC_POSITIONS crystal
Li 0.000 0.000 0.000
Pr 0.348 0.348 0.696
Pr 0.652 0.652 0.304
La 0.250 0.750 0.500
La 0.750 0.250 0.500
CELL_PARAMETERS angstrom
6.263 0.000 0.000
0.000 6.263 0.000
-3.132 -3.132 4.561

---

(2)
! LiLaPr (PBE, optimized geometry); values from VASP
! Offset from the most stable computed form (kcal/mol of atoms): 2.629
! Raw total energy (eV for the cell shown): -22.30
! Energy relative to the elements (eV/atom): 0.16
! DOS at the Fermi energy (states/eV/cell): 8.07
&SYSTEM
  ibrav = 0, nat = 6, ntyp = 3
/
ATOMIC_SPECIES
Pr 140.91 Pr.upf
Li 6.94 Li.upf
La 138.91 La.upf
ATOMIC_POSITIONS crystal
Pr 0.248 0.248 0.444
Pr 0.706 0.706 0.487
Li 0.852 0.263 0.136
Li 0.263 0.852 0.136
La 0.130 0.649 0.804
La 0.649 0.130 0.804
CELL_PARAMETERS angstrom
6.499 0.735 -0.002
2.079 6.201 -0.002
2.179 1.762 4.800

---

(3)
! LiLaPr2 (PBE, optimized geometry); values from VASP
! Offset from the most stable computed form (kcal/mol of atoms): 1.688
! Raw total energy (eV for the cell shown): -15.89
! Energy relative to the elements (eV/atom): 0.13
! DOS at the Fermi energy (states/eV/cell): 5.05
&SYSTEM
  ibrav = 0, nat = 4, ntyp = 3
/
ATOMIC_SPECIES
Pr 140.91 Pr.upf
Li 6.94 Li.upf
La 138.91 La.upf
ATOMIC_POSITIONS crystal
Pr 0.667 0.333 0.254
Pr 0.333 0.667 0.759
Li 0.667 0.333 0.524
La 0.000 0.000 0.008
CELL_PARAMETERS angstrom
-1.976 1.493 2.638
-1.625 -1.324 -2.950
-0.975 -10.834 5.402